Density functional theory data (PBE) for NdSm5Ho3 after structural relaxation.

Structure (CIF):
```
data_NdSm5Ho3
_chemical_formula_sum 'Nd2 Sm10 Ho6'
_symmetry_space_group_name_H-M 'P 1'
_symmetry_Int_Tables_number 1
_cell_length_a 9.410
_cell_length_b 9.410
_cell_length_c 12.805
_cell_angle_alpha 51.75
_cell_angle_beta 51.75
_cell_angle_gamma 51.44
loop_
_symmetry_equiv_pos_as_xyz
'x,y,z'
loop_
_atom_site_label
_atom_site_fract_x
_atom_site_fract_y
_atom_site_fract_z
Nd1 0.895 0.895 0.867
Nd2 0.105 0.105 0.133
Sm1 0.916 0.510 0.224
Sm2 0.319 0.681 0.000
Sm3 0.633 0.633 0.063
Sm4 0.441 0.441 0.427
Sm5 0.559 0.559 0.573
Sm6 0.367 0.367 0.937
Sm7 0.510 0.916 0.224
Sm8 0.681 0.319 0.000
Sm9 0.084 0.490 0.776
Sm10 0.490 0.084 0.776
Ho1 0.702 0.702 0.685
Ho2 0.834 0.834 0.341
Ho3 0.000 0.000 0.000
Ho4 0.000 0.000 0.500
Ho5 0.298 0.298 0.315
Ho6 0.166 0.166 0.659
```

Calculated values
E above lowest polymorph ... 235 meV per atom
Space group ... C2/m
Uncorrected energy ... -4.266 eV per atom